Entry 1:
This record from Alexandria describes TlV3Au after structural relaxation. The functional is GGA-PBE.

It has space group Pm-3m (No. 221), with a = 4.989 Å, b = 4.989 Å, c = 4.989 Å, α = 90.00°, β = 90.00° and γ = 90.00°. Symmetry generates all atoms from Tl at (0.000, 0.000, 0.000), V at (0.000, 0.500, 0.500) and Au at (0.500, 0.500, 0.500).

The energy is -5.297 eV/atom. Its polymorph energy (0 for the lowest one) is 0 meV/atom. The energy of formation from the pure elements comes out at 1302.4 meV per atom.

Entry 2:
This record from Alexandria describes TlVAu2 after structural relaxation. The functional is GGA-PBE.

It has space group I-42d (No. 122), with a = 7.739 Å, b = 7.739 Å, c = 5.673 Å, α = 90.00°, β = 90.00° and γ = 90.00°. Symmetry generates all atoms from Tl at (0.000, 0.000, 0.000), V at (0.000, 0.000, 0.500) and Au at (0.225, 0.250, 0.625).

The energy is -4.174 eV/atom. The energy of formation from the pure elements comes out at 336.1 meV per atom.

Entry 3:
This record from Alexandria describes Tl3VAu after structural relaxation. The functional is GGA-PBE.

It has space group Pm-3m (No. 221), with a = 5.490 Å, b = 5.490 Å, c = 5.490 Å, α = 90.00°, β = 90.00° and γ = 90.00°. Symmetry generates all atoms from Tl at (0.000, 0.000, 0.500), V at (0.500, 0.500, 0.500) and Au at (0.000, 0.000, 0.000).

The energy is -3.080 eV/atom. Its polymorph energy (0 for the lowest one) is 184 meV/atom. The energy of formation from the pure elements comes out at 819.1 meV per atom.

Entry 4:
This record from Alexandria describes Zr2TlVAu after structural relaxation. The functional is GGA-PBE.

It has space group P4/mmm (No. 123), with a = 4.842 Å, b = 4.842 Å, c = 4.982 Å, α = 90.00°, β = 90.00° and γ = 90.00°. Symmetry generates all atoms from Zr at (0.000, 0.500, 0.000), Tl at (0.000, 0.000, 0.500), V at (0.500, 0.500, 0.000) and Au at (0.500, 0.500, 0.500).

The energy is -5.890 eV/atom. The energy of formation from the pure elements comes out at 481.7 meV per atom.

Entry 5:
This record from Alexandria describes TlWAu2 after structural relaxation. The functional is GGA-PBE.

It has space group C2/m (No. 12), with a = 12.131 Å, b = 2.909 Å, c = 5.018 Å, α = 90.00°, β = 114.36° and γ = 90.00°. Symmetry generates all atoms from Tl at (0.000, 0.000, 0.000), W at (0.000, 0.500, 0.500) and Au at (0.215, 0.000, 0.715).

The energy is -4.890 eV/atom. Its polymorph energy (0 for the lowest one) is 181 meV/atom. The energy of formation from the pure elements comes out at 578.4 meV per atom.

Entry 6:
This record from Alexandria describes TlWAu2 after structural relaxation. The functional is GGA-PBE.

It has space group Cmmm (No. 65), with a = 5.845 Å, b = 8.943 Å, c = 2.885 Å, α = 90.00°, β = 90.00° and γ = 90.00°. Symmetry generates all atoms from Tl at (0.000, 0.000, 0.000), W at (0.000, 0.500, 0.000) and Au at (0.250, 0.250, 0.500).

The energy is -4.906 eV/atom. Its polymorph energy (0 for the lowest one) is 165 meV/atom. The energy of formation from the pure elements comes out at 562.3 meV per atom.

Entry 7:
This record from Alexandria describes TlWAu2 after structural relaxation. The functional is GGA-PBE.

It has space group Cm (No. 8), with a = 9.318 Å, b = 2.992 Å, c = 5.567 Å, α = 90.00°, β = 99.55° and γ = 90.00°. Symmetry generates all atoms from Tl at (0.000, 0.000, 0.000), W at (0.250, 0.000, 0.717), Au at (0.006, 0.500, 0.520) and Au at (0.253, 0.500, 0.270).

The energy is -4.865 eV/atom. Its polymorph energy (0 for the lowest one) is 206 meV/atom. The energy of formation from the pure elements comes out at 603.4 meV per atom.

Entry 8:
This record from Alexandria describes Tl4WAu after structural relaxation. The functional is GGA-PBE.

It has space group F-43m (No. 216), with a = 8.765 Å, b = 8.765 Å, c = 8.765 Å, α = 90.00°, β = 90.00° and γ = 90.00°. Symmetry generates all atoms from Tl at (0.125, 0.125, 0.125), W at (0.000, 0.000, 0.500) and Au at (0.250, 0.250, 0.750).

The energy is -3.114 eV/atom. The energy of formation from the pure elements comes out at 1168.1 meV per atom.